This record from Alexandria describes Ba3Zn2Si2 after structural relaxation. The functional is PBE-GGA.

For the final energy, the calculation gives -3.02 eV/atom. For the raw formation energy, the calculation gives -0.2824 eV per atom.

It has space group C2/m (No. 12), with a = 12.310 Å, b = 4.954 Å, c = 7.733 Å, α = 90.00°, β = 112.87° and γ = 90.00°. The inequivalent atoms are Ba at (0.000, 0.000, 0.000), Ba at (0.176, 0.000, 0.614), Zn at (0.193, 0.500, 0.917) and Si at (0.011, 0.500, 0.349).



This record from Alexandria describes BaZn3Si after structural relaxation. The functional is PBE-GGA.

The value obtained for the offset from the most stable computed form is 1483 meV per atom. For the final energy, the calculation gives -0.93 eV/atom. For the raw formation energy, the calculation gives 1.3071 eV per atom.

It has space group Pm-3m (No. 221), with a = 6.192 Å, b = 6.192 Å, c = 6.192 Å, α = 90.00°, β = 90.00° and γ = 90.00°. The inequivalent atoms are Ba at (0.000, 0.000, 0.000), Zn at (0.000, 0.000, 0.500) and Si at (0.500, 0.500, 0.500).



This record from Alexandria describes Ba4Zn3Si after structural relaxation. The functional is PBE-GGA.

For the final energy, the calculation gives -2.32 eV/atom. For the raw formation energy, the calculation gives -0.1996 eV per atom.

It has space group Pmm2 (No. 25), with a = 4.554 Å, b = 4.927 Å, c = 12.619 Å, α = 90.00°, β = 90.00° and γ = 90.00°. The inequivalent atoms are Ba at (0.000, 0.000, 0.000), Ba at (0.000, 0.500, 0.475), Ba at (0.500, 0.000, 0.703), Ba at (0.500, 0.500, 0.200), Zn at (0.000, 0.500, 0.797), Zn at (0.500, 0.000, 0.386), Zn at (0.500, 0.500, 0.902) and Si at (0.000, 0.000, 0.280).